Record 1
VASP calculation (PBE) on an optimized crystal structure of Mn2P.

The structure in POSCAR format:
```
Mn2P
1.0
1.518 3.982 0.003
-1.518 3.982 0.003
0.000 1.176 5.691
Mn P
4 2
direct
0.946 0.946 0.979
0.328 0.328 0.358
0.703 0.703 0.683
0.615 0.615 0.269
0.002 0.002 0.571
0.239 0.239 0.973
```

Summary:
Crystal system: monoclinic
Final energy, eV/atom: -8.2694
DOS at the Fermi energy, states/eV per atom: 0.718
DFT formation energy, eV/atom: -0.353
Space-group type: Cm


Record 2
VASP calculation (PBE) on an optimized crystal structure of SiCO2.

The structure in POSCAR format:
```
SiCO2
1.0
1.592 0.000 5.582
-0.796 1.378 5.582
-0.796 -1.378 5.582
Si C O
1 1 2
direct
0.000 0.000 0.000
0.500 0.500 0.500
0.897 0.897 0.897
0.103 0.103 0.103
```

Summary:
Crystal system: trigonal
Final energy, eV/atom: -5.5053
Polymorph energy (0 for the lowest one), meV per atom: 946
DOS at the Fermi energy, states/eV per atom: 0.062
Formation energy without anion corrections, kJ/mol of formula units: 245
Space-group type: R-3m


Record 3
VASP calculation (PBE) on an optimized crystal structure of ZrTe2.

The structure in POSCAR format:
```
ZrTe2
1.0
6.006 0.000 0.000
-3.003 5.201 0.000
0.000 0.000 12.228
Te Zr
8 4
direct
0.000 0.000 0.000
0.000 0.000 0.500
0.833 0.666 0.250
0.167 0.334 0.750
0.334 0.167 0.250
0.833 0.167 0.250
0.167 0.833 0.750
0.666 0.833 0.750
0.333 0.667 0.947
0.667 0.333 0.447
0.667 0.333 0.053
0.333 0.667 0.553
```

Summary:
Crystal system: hexagonal
Final energy, eV/atom: -4.7326
DOS at the Fermi energy, states/eV per atom: 0.946
Formation energy without anion corrections, kJ/mol of formula units: 61
Space-group type: P6_3/mmc


Record 4
VASP calculation (PBE) on an optimized crystal structure of SrOsW2.

The structure in POSCAR format:
```
SrOsW2
1.0
2.850 -0.002 0.000
-0.929 2.694 0.000
0.000 0.000 9.635
Os Sr W
1 1 2
direct
0.000 0.000 0.468
0.500 0.500 0.740
0.000 0.000 0.036
0.500 0.500 0.256
```

Summary:
Crystal system: orthorhombic
Final energy, eV/atom: -8.9135
Polymorph energy (0 for the lowest one), meV per atom: 106
DOS at the Fermi energy, states/eV per atom: 1.115
DFT formation energy, eV/atom: 0.791
Space-group type: Cmm2


Record 5
VASP calculation (PBE) on an optimized crystal structure of Zr3NbIn2.

The structure in POSCAR format:
```
Zr3NbIn2
1.0
5.067 0.001 0.022
2.535 7.540 0.011
-0.030 0.000 6.821
Zr Nb In
6 2 4
direct
0.828 0.345 0.764
0.500 0.000 0.242
0.172 0.655 0.236
0.828 0.345 0.236
0.172 0.655 0.764
0.500 0.000 0.758
0.336 0.327 0.000
0.664 0.673 0.000
0.000 0.000 0.000
0.000 0.000 0.500
0.337 0.327 0.500
0.663 0.673 0.500
```

Summary:
Crystal system: orthorhombic
Final energy, eV/atom: -7.0838
DOS at the Fermi energy, states/eV per atom: 0.830
DFT formation energy, eV/atom: -0.219
Space-group type: Cmmm


Record 6
VASP calculation (PBE) on an optimized crystal structure of Na2Pr.

The structure in POSCAR format:
```
Na2Pr
1.0
-0.725 1.186 6.474
1.646 -4.645 4.422
5.336 0.821 3.833
Pr Na
2 4
direct
0.000 0.000 0.000
0.250 0.250 0.250
0.125 0.625 0.625
0.625 0.125 0.625
0.625 0.625 0.625
0.625 0.625 0.125
```

Summary:
Crystal system: cubic
Final energy, eV/atom: -2.2103
Polymorph energy (0 for the lowest one), meV per atom: 156
DOS at the Fermi energy, states/eV per atom: 0.728
DFT formation energy, eV/atom: 0.262
Space-group type: Fd-3m


- Which value of final energy does entry 6 give?
  -2.2103 eV/atom


- Which value of DOS at the Fermi energy does entry 5 give?
  0.830 states/eV per atom